Below is a geometry-optimized Ba2SrCu structure, with properties calculated at the PBE level.

It has space group Fm-3m (No. 225), with a = 8.915 Å, b = 8.915 Å, c = 8.915 Å, α = 90.00°, β = 90.00° and γ = 90.00°. The distinct sites, in fractional coordinates, are Ba at (0.250, 0.250, 0.250), Sr at (0.000, 0.000, 0.000) and Cu at (0.000, 0.000, 0.500).

The relative energy among the computed polymorphs comes out at 0.3228 eV per atom. The formation energy from the elements is 0.334 eV/atom. For the theoretical density, the calculation gives 4.0 Mg/m³. The total energy is -2.0721 eV per atom. As for the calculated volume: 44.29 Å³ per atom.